P:
A plane-wave DFT calculation with PBE was carried out for an optimized crystal structure of Tl3SbF6.

Unit cell a=6.326 b=6.326 c=7.159 alpha=112.19 beta=112.19 gamma=98.35
Element x y z (fractional)
Tl 0.750 0.250 0.500
Tl 0.500 0.500 0.000
Tl 0.250 0.750 0.500
Sb 0.000 0.000 0.000
F 0.674 0.674 0.738
F 0.937 0.937 0.262
F 0.063 0.063 0.738
F 0.326 0.326 0.262
F 0.771 0.229 0.000
F 0.229 0.771 0.000

=====

Q:
A plane-wave DFT calculation with PBE was carried out for an optimized crystal structure of Tl3SbF6.

Unit cell a=6.629 b=6.892 c=9.530 alpha=90.00 beta=89.85 gamma=90.00
Element x y z (fractional)
Tl 0.512 0.960 0.751
Tl 0.500 0.500 0.000
Tl 0.488 0.040 0.249
Tl 0.012 0.540 0.251
Tl 0.000 0.000 0.500
Tl 0.988 0.460 0.749
Sb 0.500 0.500 0.500
Sb 0.000 0.000 0.000
F 0.724 0.169 0.950
F 0.659 0.231 0.566
F 0.612 0.451 0.283
F 0.388 0.549 0.717
F 0.341 0.769 0.434
F 0.276 0.831 0.050
F 0.224 0.331 0.450
F 0.159 0.269 0.066
F 0.112 0.049 0.783
F 0.888 0.951 0.217
F 0.841 0.731 0.934
F 0.776 0.669 0.550

=====

Q wins, 51 meV/atom ahead of the next structure.

=====

P:
A plane-wave DFT calculation with PBE was carried out for an optimized crystal structure of TlSb3F.

Unit cell a=5.705 b=5.705 c=5.705 alpha=90.00 beta=90.00 gamma=90.00
Element x y z (fractional)
Sb 0.000 0.500 0.000
Sb 0.000 0.000 0.500
Sb 0.500 0.000 0.000
Tl 0.000 0.000 0.000
F 0.500 0.500 0.500

=====

Q:
A plane-wave DFT calculation with PBE was carried out for an optimized crystal structure of TlSb3F.

Unit cell a=5.077 b=5.077 c=5.077 alpha=90.00 beta=90.00 gamma=90.00
Element x y z (fractional)
Sb 0.000 0.500 0.000
Sb 0.000 0.000 0.500
Sb 0.500 0.000 0.000
Tl 0.500 0.500 0.500
F 0.000 0.000 0.000

=====

Q wins, 835 meV/atom ahead of the next structure.